Tm12Rh3O5 | PBE | relaxed

Output
Formation energy from raw total energies = -34.08 eV/f.u.
E_tot = -1076.70 eV for the cell shown
Total moment = 0.00 μB per formula unit
Volume = 20.7 Å³/atom

Geometry as CIF:
```
data_Tm12Rh3O5
_chemical_formula_sum 'Tm96 Rh24 O40'
_space_group_name_H-M_alt 'I a -3 d'
_space_group_IT_number 230
_space_group_name_Hall '-I 4bd 2c 3'
_cell_length_a 14.899
_cell_length_b 14.899
_cell_length_c 14.899
_cell_angle_alpha 90.00
_cell_angle_beta 90.00
_cell_angle_gamma 90.00
loop_
_atom_site_label
_atom_site_type_symbol
_atom_site_fract_x
_atom_site_fract_y
_atom_site_fract_z
Tm1 Tm 0.033 0.056 0.652
Rh1 Rh 0.000 0.250 0.125
O1 O 0.000 0.000 0.000
O2 O 0.000 0.250 0.375
```